A plane-wave DFT calculation with PBE-GGA was carried out for an optimized crystal structure of Tm6Ni2Ru.

Computed properties:
ΔE_f = -8.2 kcal/mol of atoms
M_tot = 0.00 μB per atom

a b c (Å): 8.0664 8.0664 8.0664
angles (deg): 108.69 110.95 108.78
Sites, in units of the cell vectors:
Tm1 0.1862 0.2619 0.4481
Tm2 0.6943 0.0209 0.3266
Tm3 0.5661 0.7421 0.8240
Tm4 0.8138 0.7381 0.5519
Tm5 0.1862 0.7381 0.9243
Tm6 0.9181 0.7421 0.1760
Tm7 0.4339 0.2579 0.1760
Tm8 0.3057 0.6323 0.3266
Tm9 0.8138 0.2619 0.0757
Tm10 0.0819 0.2579 0.8240
Tm11 0.6943 0.3677 0.6734
Tm12 0.3057 0.9791 0.6734
Ru1 0.0000 0.5000 0.5000
Ru2 0.0000 0.0000 0.0000
Ni1 0.6561 0.0000 0.6561
Ni2 0.3439 0.0000 0.3439
Ni3 0.5000 0.6207 0.1207
Ni4 0.5000 0.3793 0.8793